1.
Entry from Alexandria via LeMat-Bulk: Sr2TiGeCl after structural relaxation (GGA-PBE).

## Properties
* space group: No. 123
* calculated total energy: -3.0886 eV per atom
* spin magnetization: 0.5 μB/f.u.
* formation energy (no corrections): 0.46 eV per atom

Cell lengths 6.1718, 6.1718, 5.1783 Å; angles 90.00, 90.00, 90.00 degrees
Closest atoms and distances in Å follow each position.
Positions (direct):
Sr 0.0000 0.5000 0.0000  2 Ge 3.09
Sr 0.5000 0.0000 0.0000  2 Ge 3.09
Ti 0.0000 0.0000 0.5000  8 Sr 4.03, 4 Cl 4.36
Ge 0.5000 0.5000 0.0000  2 Cl 2.59
Cl 0.5000 0.5000 0.5000  2 Ge 2.59

2.
Entry from Alexandria via LeMat-Bulk: SrTlGeCl5 after structural relaxation (GGA-PBE).

## Properties
* space group: No. 15
* calculated total energy: -3.6960 eV per atom
* spin magnetization: 0.0 μB/f.u.
* formation energy (no corrections): -1.46 eV per atom

Cell lengths 7.7341, 7.7341, 10.1327 Å; angles 105.12, 105.12, 97.14 degrees
Closest atoms and distances in Å follow each position.
Positions (direct):
Sr 0.0000 0.5000 0.0000  6 Cl 2.86-2.98
Sr 0.5000 0.0000 0.5000  6 Cl 2.86-2.98
Tl 0.0625 0.9375 0.7500  5 Cl 3.08-3.40
Tl 0.9375 0.0625 0.2500  5 Cl 3.08-3.40
Ge 0.4809 0.5191 0.7500  2 Cl 2.39
Ge 0.5191 0.4809 0.2500  2 Cl 2.39
Cl 0.2023 0.2353 0.0884  1 Ge 2.72, 1 Sr 2.91
Cl 0.2028 0.7972 0.2500  2 Sr 2.86, 1 Tl 3.08
Cl 0.2353 0.2023 0.5884  1 Ge 2.72, 1 Sr 2.91
Cl 0.3126 0.6354 0.9083  1 Ge 2.39
Cl 0.3646 0.6874 0.5917  1 Ge 2.39
Cl 0.6354 0.3126 0.4083  1 Ge 2.39
Cl 0.6874 0.3646 0.0917  1 Ge 2.39
Cl 0.7647 0.7977 0.4116  1 Ge 2.72, 1 Sr 2.91
Cl 0.7972 0.2028 0.7500  2 Sr 2.86, 1 Tl 3.08
Cl 0.7977 0.7647 0.9116  1 Ge 2.72, 1 Sr 2.91